Entry 1:
Here is an optimized crystal structure of ZnGeAu3 from the Alexandria database. Energies are from PBE.

Its total DFT energy (no corrections) is -3.1591 eV/atom. The calculated formation energy is -14 meV per atom.

The structure belongs to space group P2_1/m (No. 11); the cell edges are 5.038, 6.865 and 6.042 Å and the angles 90.00°, 114.29° and 90.00°. The inequivalent atoms are Zn at (0.227, 0.250, 0.288), Ge at (0.427, 0.750, 0.218), Au at (0.193, 0.030, 0.887) and Au at (0.195, 0.750, 0.529).


Entry 2:
Here is an optimized crystal structure of Zn3GeAu from the Alexandria database. Energies are from PBE.

Its total DFT energy (no corrections) is -1.9527 eV/atom. The calculated formation energy is 391 meV per atom.

The structure belongs to space group Pm-3m (No. 221); the cell edges are 4.867, 4.867 and 4.867 Å and the angles 90.00°, 90.00° and 90.00°. The inequivalent atoms are Zn at (0.000, 0.000, 0.500), Ge at (0.500, 0.500, 0.500) and Au at (0.000, 0.000, 0.000).


Entry 3:
Here is an optimized crystal structure of Zn3GeAu3 from the Alexandria database. Energies are from PBE.

Its total DFT energy (no corrections) is -2.2021 eV/atom. The calculated formation energy is 408 meV per atom.

The structure belongs to space group Pm-3n (No. 223); the cell edges are 7.045, 7.045 and 7.045 Å and the angles 90.00°, 90.00° and 90.00°. The inequivalent atoms are Zn at (0.000, 0.250, 0.500), Ge at (0.000, 0.000, 0.000) and Au at (0.000, 0.500, 0.250).


Entry 4:
Here is an optimized crystal structure of Zn2GeAu2 from the Alexandria database. Energies are from PBE.

Its total DFT energy (no corrections) is -2.7799 eV/atom. The calculated formation energy is -36 meV per atom.

The structure belongs to space group I4/mmm (No. 139); the cell edges are 3.696, 3.696 and 13.280 Å and the angles 90.00°, 90.00° and 90.00°. The inequivalent atoms are Zn at (0.000, 0.500, 0.250), Ge at (0.000, 0.000, 0.000) and Au at (0.000, 0.000, 0.395).


Entry 5:
Here is an optimized crystal structure of Zn3GeAu from the Alexandria database. Energies are from PBE.

Its total DFT energy (no corrections) is -1.9087 eV/atom. The calculated formation energy is 435 meV per atom.

The structure belongs to space group Pm-3m (No. 221); the cell edges are 4.807, 4.807 and 4.807 Å and the angles 90.00°, 90.00° and 90.00°. The inequivalent atoms are Zn at (0.000, 0.000, 0.500), Ge at (0.000, 0.000, 0.000) and Au at (0.500, 0.500, 0.500).


Entry 6:
Here is an optimized crystal structure of ZnGeAu2 from the Alexandria database. Energies are from PBE.

Its total DFT energy (no corrections) is -3.1169 eV/atom. The calculated formation energy is -5 meV per atom.

The structure belongs to space group P4/mmm (No. 123); the cell edges are 4.777, 4.777 and 3.107 Å and the angles 90.00°, 90.00° and 90.00°. The inequivalent atoms are Zn at (0.000, 0.000, 0.000), Ge at (0.500, 0.500, 0.000) and Au at (0.000, 0.500, 0.500).


Entry 7:
Here is an optimized crystal structure of Zn2GeAu8 from the Alexandria database. Energies are from PBE.

Its total DFT energy (no corrections) is -3.0432 eV/atom. The calculated formation energy is -8 meV per atom.

The structure belongs to space group C2/m (No. 12); the cell edges are 12.368, 7.121 and 4.920 Å and the angles 90.00°, 105.83° and 90.00°. The inequivalent atoms are Zn at (0.133, 0.000, 0.022), Ge at (0.000, 0.000, 0.500), Au at (0.071, 0.298, 0.283), Au at (0.146, 0.500, 0.830) and Au at (0.224, 0.000, 0.587).


Entry 8:
Here is an optimized crystal structure of ZnGeAu2 from the Alexandria database. Energies are from PBE.

Its total DFT energy (no corrections) is -3.1359 eV/atom. The calculated formation energy is -24 meV per atom.

The structure belongs to space group P4/mmm (No. 123); the cell edges are 3.210, 3.210 and 6.871 Å and the angles 90.00°, 90.00° and 90.00°. The inequivalent atoms are Zn at (0.000, 0.000, 0.000), Ge at (0.000, 0.000, 0.500) and Au at (0.500, 0.500, 0.229).


Which formula does entry 1 have?
ZnGeAu3